(1)
First-principles (PBE) data for a geometry-optimized Cs3Sm2MgS6 structure, as listed in the Alexandria database.

a b c (Å): 7.1535 7.1535 8.3900
angles (deg): 98.18 98.18 120.02
Fractional coordinates of all 12 atoms:
1 Cs 0.0000 0.0000 0.0000
2 Cs 0.3329 0.6671 0.0000
3 Cs 0.6671 0.3329 0.0000
4 Sm 0.1664 0.8336 0.5000
5 Sm 0.8336 0.1664 0.5000
6 Mg 0.5000 0.5000 0.5000
7 S 0.1158 0.4396 0.3188
8 S 0.2365 0.2365 0.6818
9 S 0.4396 0.1158 0.3188
10 S 0.5604 0.8842 0.6812
11 S 0.7635 0.7635 0.3182
12 S 0.8842 0.5604 0.6812

Calculated values
Formation energy from raw total energies ... -1478 meV/atom
N(E_F) ... 12.5 states/eV per cell
Total magnetization ... 0.00 μB/cell

---

(2)
First-principles (PBE) data for a geometry-optimized LiLaBeCd structure, as listed in the Alexandria database.

a b c (Å): 4.8572 4.8572 4.8572
angles (deg): 60.00 60.00 60.00
Fractional coordinates of all 4 atoms:
1 Li 0.0000 0.0000 0.0000
2 La 0.7500 0.7500 0.7500
3 Be 0.5000 0.5000 0.5000
4 Cd 0.2500 0.2500 0.2500

Calculated values
N(E_F) ... 1.5 states/eV per cell
Total magnetization ... 0.00 μB/cell
E_form ... -3.0 kJ/mol of atoms